# Co2Re5B4 (GGA-PBEsol, relaxed)
data_Co2Re5B4
_cell_length_a 7.544
_cell_length_b 7.571
_cell_length_c 7.997
_cell_angle_alpha 90.00
_cell_angle_beta 90.00
_cell_angle_gamma 90.00
_symmetry_space_group_name_H-M 'C m m m'
_symmetry_Int_Tables_number 65
_symmetry_space_group_name_Hall '-C 2 2'
loop_
_atom_site_label
_atom_site_fract_x
_atom_site_fract_y
_atom_site_fract_z
Co1 0.000 0.158 0.000
Co2 0.250 0.250 0.500
Re1 0.000 0.323 0.282
Re2 0.164 0.500 0.000
Re3 0.173 0.000 0.284
B1 0.000 0.125 0.500
B2 0.121 0.500 0.500
B3 0.250 0.250 0.131
# Energy of formation   -27 kJ/mol of atoms
# ρ   15.881 Mg/m³
# Crystal system   orthorhombic
# DOS at the Fermi energy   6.68 states/eV/f.u.
# Total moment   0.65 μB per formula unit

# CdMo2Se (GGA-PBEsol, relaxed)
data_CdMo2Se
_cell_length_a 3.866
_cell_length_b 3.866
_cell_length_c 4.577
_cell_angle_alpha 90.00
_cell_angle_beta 90.00
_cell_angle_gamma 90.00
_symmetry_space_group_name_H-M 'P 4/m m m'
_symmetry_Int_Tables_number 123
_symmetry_space_group_name_Hall '-P 4 2'
loop_
_atom_site_label
_atom_site_fract_x
_atom_site_fract_y
_atom_site_fract_z
Cd1 0.000 0.000 0.000
Mo1 0.000 0.500 0.500
Se1 0.500 0.500 0.000
# ρ   9.303 Mg/m³
# Crystal system   tetragonal
# Excess energy over the best structure of this formula in the dataset   573 meV per atom
# Formation energy from raw total energies   68.1 kJ per mole of atoms
# DOS at the Fermi energy   3.58 states/eV/f.u.
# Total moment   0.00 μB per formula unit

# SnAsSe2Br (GGA-PBEsol, relaxed)
data_SnAsSe2Br
_cell_length_a 5.072
_cell_length_b 5.072
_cell_length_c 5.092
_cell_angle_alpha 90.00
_cell_angle_beta 90.00
_cell_angle_gamma 90.00
_symmetry_space_group_name_H-M 'P 4/m m m'
_symmetry_Int_Tables_number 123
_symmetry_space_group_name_Hall '-P 4 2'
loop_
_atom_site_label
_atom_site_fract_x
_atom_site_fract_y
_atom_site_fract_z
Sn1 0.000 0.000 0.000
As1 0.500 0.500 0.000
Se1 0.000 0.500 0.500
Br1 0.500 0.500 0.500
# ρ   5.468 Mg/m³
# Crystal system   tetragonal
# Formation energy from raw total energies   69.0 kJ per mole of atoms
# DOS at the Fermi energy   4.76 states/eV/f.u.
# Total moment   0.00 μB per formula unit

Question: ρ of number 3 (SnAsSe2Br)?
Answer: 5.468 Mg/m³

Question: What is the formula in the first record?
Answer: Co2Re5B4